The following is a DFT calculation (PBE) of a geometry-optimized TaFeNi2 structure.

- Total moment: 2.56 μB/cell
- Calculated formation energy: -0.06 eV per atom
- Space-group type: C2/m, No. 12
- V: 12.892 Å³ per atom
- Calculated density: 11405 kg/m³

Structure (CIF):
```
data_TaFeNi2
_space_group_name_H-M_alt 'P 1'
_space_group_IT_number 1
_cell_length_a 5.838
_cell_length_b 4.517
_cell_length_c 2.693
_cell_angle_alpha 90.13
_cell_angle_beta 62.31
_cell_angle_gamma 120.51
loop_
_space_group_symop_operation_xyz
'x,y,z'
loop_
_atom_site_label
_atom_site_type_symbol
_atom_site_fract_x
_atom_site_fract_y
_atom_site_fract_z
Fe1 Fe 0.500 0.500 0.000
Ni1 Ni 0.000 0.000 0.000
Ni2 Ni 0.500 0.000 0.500
Ta1 Ta 0.000 0.500 0.500
```

=====

The following is a DFT calculation (PBE) of a geometry-optimized UGaAu2 structure.

- Total moment: 3.04 μB/cell
- Calculated formation energy: -0.13 eV per atom
- Space-group type: P4/mmm, No. 123
- V: 19.844 Å³ per atom
- Calculated density: 14679 kg/m³

Structure (CIF):
```
data_UGaAu2
_space_group_name_H-M_alt 'P 1'
_space_group_IT_number 1
_cell_length_a 3.174
_cell_length_b 3.174
_cell_length_c 7.881
_cell_angle_alpha 90.00
_cell_angle_beta 90.00
_cell_angle_gamma 90.00
loop_
_space_group_symop_operation_xyz
'x,y,z'
loop_
_atom_site_label
_atom_site_type_symbol
_atom_site_fract_x
_atom_site_fract_y
_atom_site_fract_z
Au1 Au 0.000 0.000 0.780
Au2 Au 0.000 0.000 0.220
U1 U 0.500 0.500 0.500
Ga1 Ga 0.500 0.500 0.000
```

=====

The following is a DFT calculation (PBE) of a geometry-optimized Ir2Se structure.

- Relative energy among the computed polymorphs: 415 meV/atom
- Total moment: 0.00 μB/cell
- Formation energy (no corrections): 122 kJ/mol of formula units
- Space-group type: P-3m1, No. 164
- V: 15.465 Å³ per atom
- Calculated density: 16585 kg/m³

Structure (CIF):
```
data_Ir2Se
_space_group_name_H-M_alt 'P 1'
_space_group_IT_number 1
_cell_length_a 2.913
_cell_length_b 2.913
_cell_length_c 6.314
_cell_angle_alpha 90.00
_cell_angle_beta 90.00
_cell_angle_gamma 120.00
loop_
_space_group_symop_operation_xyz
'x,y,z'
loop_
_atom_site_label
_atom_site_type_symbol
_atom_site_fract_x
_atom_site_fract_y
_atom_site_fract_z
Ir1 Ir 0.667 0.333 0.677
Ir2 Ir 0.333 0.667 0.323
Se1 Se 0.000 0.000 0.000
```

=====

The following is a DFT calculation (PBE) of a geometry-optimized AgSbPd2 structure.

- Total moment: 0.00 μB/cell
- Formation energy (no corrections): -44 kJ/mol of formula units
- Space-group type: R3m, No. 160
- V: 18.577 Å³ per atom
- Calculated density: 9887 kg/m³

Structure (CIF):
```
data_AgSbPd2
_space_group_name_H-M_alt 'P 1'
_space_group_IT_number 1
_cell_length_a 3.194
_cell_length_b 3.194
_cell_length_c 8.612
_cell_angle_alpha 79.31
_cell_angle_beta 79.31
_cell_angle_gamma 60.00
loop_
_space_group_symop_operation_xyz
'x,y,z'
loop_
_atom_site_label
_atom_site_type_symbol
_atom_site_fract_x
_atom_site_fract_y
_atom_site_fract_z
Ag1 Ag 0.500 0.500 0.500
Sb1 Sb 0.667 0.667 0.000
Pd1 Pd 0.080 0.080 0.760
Pd2 Pd 0.253 0.253 0.240
```

=====

The following is a DFT calculation (PBE) of a geometry-optimized Li6HAu2O structure.

- E: -34.4 eV for the cell shown
- Total moment: 0.00 μB/cell
- Space-group type: C2/m, No. 12
- V: 12.851 Å³ per atom
- Calculated density: 5848 kg/m³

Structure (CIF):
```
data_Li6HAu2O
_space_group_name_H-M_alt 'P 1'
_space_group_IT_number 1
_cell_length_a 5.657
_cell_length_b 5.657
_cell_length_c 5.649
_cell_angle_alpha 60.21
_cell_angle_beta 60.21
_cell_angle_gamma 90.09
loop_
_space_group_symop_operation_xyz
'x,y,z'
loop_
_atom_site_label
_atom_site_type_symbol
_atom_site_fract_x
_atom_site_fract_y
_atom_site_fract_z
Li1 Li 0.261 0.261 0.477
Li2 Li 0.740 0.740 0.000
Li3 Li 0.261 0.739 0.000
Li4 Li 0.739 0.261 0.000
Li5 Li 0.260 0.260 0.000
Li6 Li 0.739 0.739 0.523
H1 H 0.000 0.000 0.000
Au1 Au 0.750 0.250 0.500
Au2 Au 0.250 0.750 0.500
O1 O 0.500 0.500 0.000
```

=====

The following is a DFT calculation (PBE) of a geometry-optimized SrAc5Bi6 structure.

- Total moment: 0.00 μB/cell
- Calculated formation energy: -0.95 eV per atom
- Space-group type: C2/m, No. 12
- V: 41.075 Å³ per atom
- Calculated density: 8343 kg/m³

Structure (CIF):
```
data_SrAc5Bi6
_space_group_name_H-M_alt 'P 1'
_space_group_IT_number 1
_cell_length_a 8.449
_cell_length_b 8.449
_cell_length_c 8.457
_cell_angle_alpha 99.58
_cell_angle_beta 99.58
_cell_angle_gamma 120.01
loop_
_space_group_symop_operation_xyz
'x,y,z'
loop_
_atom_site_label
_atom_site_type_symbol
_atom_site_fract_x
_atom_site_fract_y
_atom_site_fract_z
Sr1 Sr 0.000 0.000 0.000
Ac1 Ac 0.834 0.166 0.500
Ac2 Ac 0.667 0.333 0.000
Ac3 Ac 0.500 0.500 0.500
Ac4 Ac 0.333 0.667 0.000
Ac5 Ac 0.166 0.834 0.500
Bi1 Bi 0.419 0.084 0.250
Bi2 Bi 0.916 0.581 0.750
Bi3 Bi 0.252 0.252 0.749
Bi4 Bi 0.748 0.748 0.251
Bi5 Bi 0.084 0.419 0.250
Bi6 Bi 0.581 0.916 0.750
```

=====

The following is a DFT calculation (PBE) of a geometry-optimized Ba2MoAsI structure.

- Total moment: 0.68 μB/cell
- Formation energy (no corrections): 159 kJ/mol of formula units
- Space-group type: P4/mmm, No. 123
- V: 37.426 Å³ per atom
- Calculated density: 5079 kg/m³

Structure (CIF):
```
data_Ba2MoAsI
_space_group_name_H-M_alt 'P 1'
_space_group_IT_number 1
_cell_length_a 6.093
_cell_length_b 5.041
_cell_length_c 6.093
_cell_angle_alpha 90.00
_cell_angle_beta 90.00
_cell_angle_gamma 90.00
loop_
_space_group_symop_operation_xyz
'x,y,z'
loop_
_atom_site_label
_atom_site_type_symbol
_atom_site_fract_x
_atom_site_fract_y
_atom_site_fract_z
I1 I 0.000 0.500 0.000
As1 As 0.500 0.500 0.500
Mo1 Mo 0.000 0.000 0.000
Ba1 Ba 0.000 0.000 0.500
Ba2 Ba 0.500 0.000 0.000
```

=====

The following is a DFT calculation (PBE) of a geometry-optimized RbLa2HgTe4 structure.

- Total moment: 0.00 μB/cell
- Formation energy (no corrections): -883 kJ/mol of formula units
- Space-group type: Cmcm, No. 63
- V: 38.425 Å³ per atom
- Calculated density: 5803 kg/m³

Structure (CIF):
```
data_RbLa2HgTe4
_space_group_name_H-M_alt 'P 1'
_space_group_IT_number 1
_cell_length_a 4.840
_cell_length_b 8.201
_cell_length_c 16.213
_cell_angle_alpha 90.00
_cell_angle_beta 90.00
_cell_angle_gamma 107.16
loop_
_space_group_symop_operation_xyz
'x,y,z'
loop_
_atom_site_label
_atom_site_type_symbol
_atom_site_fract_x
_atom_site_fract_y
_atom_site_fract_z
Rb1 Rb 0.129 0.257 0.750
Rb2 Rb 0.871 0.743 0.250
La1 La 0.373 0.746 0.561
La2 La 0.627 0.254 0.061
La3 La 0.627 0.254 0.439
La4 La 0.373 0.746 0.939
Hg1 Hg 0.855 0.711 0.750
Hg2 Hg 0.145 0.289 0.250
Te1 Te 0.262 0.525 0.107
Te2 Te 0.738 0.475 0.607
Te3 Te 0.738 0.475 0.893
Te4 Te 0.262 0.525 0.393
Te5 Te 0.000 0.000 0.500
Te6 Te 0.000 0.000 0.000
Te7 Te 0.453 0.905 0.750
Te8 Te 0.547 0.095 0.250
```

=====

The following is a DFT calculation (PBE) of a geometry-optimized U2Ag3PdSe6 structure.

- Total moment: 3.31 μB/cell
- Formation energy (no corrections): -638 kJ/mol of formula units
- Space-group type: C2/m, No. 12
- V: 23.071 Å³ per atom
- Calculated density: 8276 kg/m³

Structure (CIF):
```
data_U2Ag3PdSe6
_space_group_name_H-M_alt 'P 1'
_space_group_IT_number 1
_cell_length_a 7.099
_cell_length_b 7.099
_cell_length_c 6.723
_cell_angle_alpha 99.46
_cell_angle_beta 99.46
_cell_angle_gamma 120.09
loop_
_space_group_symop_operation_xyz
'x,y,z'
loop_
_atom_site_label
_atom_site_type_symbol
_atom_site_fract_x
_atom_site_fract_y
_atom_site_fract_z
U1 U 0.336 0.664 0.000
U2 U 0.664 0.336 0.000
Ag1 Ag 0.191 0.809 0.500
Ag2 Ag 0.809 0.191 0.500
Ag3 Ag 0.500 0.500 0.500
Pd1 Pd 0.000 0.000 0.000
Se1 Se 0.928 0.605 0.766
Se2 Se 0.747 0.747 0.253
Se3 Se 0.072 0.395 0.234
Se4 Se 0.605 0.928 0.766
Se5 Se 0.253 0.253 0.747
Se6 Se 0.395 0.072 0.234
```

=====

The following is a DFT calculation (PBE) of a geometry-optimized TlSi3W structure.

- Relative energy among the computed polymorphs: 2021 meV/atom
- Total moment: 0.00 μB/cell
- Formation energy (no corrections): 1197 kJ/mol of formula units
- Space-group type: Pm-3m, No. 221
- V: 24.053 Å³ per atom
- Calculated density: 6524 kg/m³

Structure (CIF):
```
data_TlSi3W
_space_group_name_H-M_alt 'P 1'
_space_group_IT_number 1
_cell_length_a 4.936
_cell_length_b 4.936
_cell_length_c 4.936
_cell_angle_alpha 90.00
_cell_angle_beta 90.00
_cell_angle_gamma 90.00
loop_
_space_group_symop_operation_xyz
'x,y,z'
loop_
_atom_site_label
_atom_site_type_symbol
_atom_site_fract_x
_atom_site_fract_y
_atom_site_fract_z
Tl1 Tl 0.000 0.000 0.000
Si1 Si 0.000 0.500 0.000
Si2 Si 0.000 0.000 0.500
Si3 Si 0.500 0.000 0.000
W1 W 0.500 0.500 0.500
```

=====

The following is a DFT calculation (PBE) of a geometry-optimized TiAg2SnH structure.

- E: -21.1 eV for the cell shown
- Total moment: 0.00 μB/cell
- Space-group type: P4/mmm, No. 123
- V: 15.381 Å³ per atom
- Calculated density: 8277 kg/m³

Structure (CIF):
```
data_TiAg2SnH
_space_group_name_H-M_alt 'P 1'
_space_group_IT_number 1
_cell_length_a 4.215
_cell_length_b 4.329
_cell_length_c 4.215
_cell_angle_alpha 90.00
_cell_angle_beta 90.00
_cell_angle_gamma 90.00
loop_
_space_group_symop_operation_xyz
'x,y,z'
loop_
_atom_site_label
_atom_site_type_symbol
_atom_site_fract_x
_atom_site_fract_y
_atom_site_fract_z
H1 H 0.000 0.000 0.000
Sn1 Sn 0.500 0.500 0.500
Ag1 Ag 0.000 0.000 0.500
Ag2 Ag 0.500 0.000 0.000
Ti1 Ti 0.000 0.500 0.000
```

=====

The following is a DFT calculation (PBE) of a geometry-optimized ZrTl2 structure.

- Total moment: 0.00 μB/cell
- Calculated formation energy: 0.07 eV per atom
- Space-group type: P4/mmm, No. 123
- V: 29.796 Å³ per atom
- Calculated density: 9288 kg/m³

Structure (CIF):
```
data_ZrTl2
_space_group_name_H-M_alt 'P 1'
_space_group_IT_number 1
_cell_length_a 5.394
_cell_length_b 5.394
_cell_length_c 3.072
_cell_angle_alpha 90.00
_cell_angle_beta 90.00
_cell_angle_gamma 90.00
loop_
_space_group_symop_operation_xyz
'x,y,z'
loop_
_atom_site_label
_atom_site_type_symbol
_atom_site_fract_x
_atom_site_fract_y
_atom_site_fract_z
Tl1 Tl 0.000 0.500 0.500
Tl2 Tl 0.500 0.000 0.500
Zr1 Zr 0.000 0.000 0.000
```